1.
ZrAgBr2 after structural relaxation. Source: Alexandria via LeMat-Bulk, functional GGA-PBE.

Cell and atoms, written as POSCAR:
```
ZrAgBr2
1.0
5.037 0.000 0.000
0.000 5.037 0.000
0.000 0.000 3.469
Zr Ag Br
1 1 2
direct
0.000 0.000 0.000
0.500 0.500 0.000
0.000 0.500 0.500
0.500 0.000 0.500
```

* calculated total energy: -0.2752 Ry/atom
* E_form (uncorrected): -0.06 eV per atom
* total magnetic moment: 1.374 μB/cell
* density: 6.77 g cm⁻³

***

2.
ZrAgBr2 after structural relaxation. Source: Alexandria via LeMat-Bulk, functional GGA-PBE.

Cell and atoms, written as POSCAR:
```
ZrAgBr2
1.0
3.509 0.000 0.000
0.000 3.509 0.000
0.000 0.000 8.403
Zr Ag Br
1 1 2
direct
0.000 0.000 0.000
0.500 0.500 0.193
0.000 0.000 0.355
0.500 0.500 0.787
```

* calculated total energy: -0.3075 Ry/atom
* E_form (uncorrected): -0.50 eV per atom
* total magnetic moment: 0.003 μB/cell
* density: 5.76 g cm⁻³

***

3.
Zr2AgBr after structural relaxation. Source: Alexandria via LeMat-Bulk, functional GGA-PBE.

Cell and atoms, written as POSCAR:
```
Zr2AgBr
1.0
-2.187 2.187 9.928
2.187 -2.187 9.928
2.187 2.187 -9.928
Zr Ag Br
4 2 2
direct
0.120 0.625 0.995
0.375 0.370 0.495
0.630 0.125 0.005
0.875 0.880 0.505
0.250 0.750 0.500
0.500 0.500 0.000
0.000 0.000 0.000
0.750 0.250 0.500
```

* calculated total energy: -0.3732 Ry/atom
* E_form (uncorrected): 0.33 eV per atom
* total magnetic moment: 0.000 μB/cell
* density: 6.47 g cm⁻³

***

4.
Zr2AgBr after structural relaxation. Source: Alexandria via LeMat-Bulk, functional GGA-PBE.

Cell and atoms, written as POSCAR:
```
Zr2AgBr
1.0
3.229 0.000 0.000
0.000 3.229 0.000
0.000 0.000 7.773
Zr Ag Br
2 1 1
direct
0.000 0.000 0.247
0.000 0.000 0.753
0.500 0.500 0.500
0.500 0.500 0.000
```

* calculated total energy: -0.4047 Ry/atom
* E_form (uncorrected): -0.10 eV per atom
* total magnetic moment: 0.001 μB/cell
* density: 7.59 g cm⁻³